! SCAN AsOsPt2, single point on PBEsol structure; values from VASP
! DFT formation energy = 142 kJ/mol of formula units
! DOS(E_F) = 3.15 states/eV per cell
! Space-group type = Cmm2 (35)
&SYSTEM
  ibrav = 0, nat = 4, ntyp = 3
/
ATOMIC_SPECIES
As 74.92 As.upf
Os 190.23 Os.upf
Pt 195.08 Pt.upf
CELL_PARAMETERS angstrom
2.746 0.000 0.000
-1.373 2.382 0.000
0.000 0.000 9.354
ATOMIC_POSITIONS angstrom
As 0.000 0.000 4.780
Os 1.373 0.000 6.991
Pt 0.000 0.000 9.286
Pt 1.373 0.000 2.327


! SCAN AsOs2Pt, single point on PBEsol structure; values from VASP
! DFT formation energy = 175 kJ/mol of formula units
! DOS(E_F) = 2.93 states/eV per cell
! Space-group type = Cmmm (65)
&SYSTEM
  ibrav = 0, nat = 4, ntyp = 3
/
ATOMIC_SPECIES
Pt 195.08 Pt.upf
As 74.92 As.upf
Os 190.23 Os.upf
CELL_PARAMETERS angstrom
-2.394 -0.011 -1.559
-0.897 -4.210 1.408
-2.117 2.362 3.233
ATOMIC_POSITIONS angstrom
Pt -1.197 -0.006 -0.780
As -2.704 -0.930 1.541
Os -0.448 -2.105 0.704
Os -1.058 1.181 1.617


! SCAN As2OsPtSe, single point on PBEsol structure; values from VASP
! DOS(E_F) = 3.53 states/eV per cell
! Raw formation energy = 7.3 eV per formula unit
! Space-group type = P4/mmm (123)
&SYSTEM
  ibrav = 0, nat = 5, ntyp = 4
/
ATOMIC_SPECIES
Se 78.96 Se.upf
As 74.92 As.upf
Pt 195.08 Pt.upf
Os 190.23 Os.upf
CELL_PARAMETERS angstrom
-3.015 3.450 0.847
-2.911 -1.763 -3.182
-2.117 -2.692 3.429
ATOMIC_POSITIONS angstrom
Se -1.059 -1.346 1.714
As -1.508 1.725 0.423
As -1.456 -0.882 -1.591
Pt 0.000 0.000 0.000
Os -4.022 -0.503 0.547


! SCAN Tc2AsOsPt, single point on PBEsol structure; values from VASP
! DFT formation energy = 1065 kJ/mol of formula units
! DOS(E_F) = 5.85 states/eV per cell
! Space-group type = P4/mmm (123)
&SYSTEM
  ibrav = 0, nat = 5, ntyp = 4
/
ATOMIC_SPECIES
As 74.92 As.upf
Tc 98.00 Tc.upf
Pt 195.08 Pt.upf
Os 190.23 Os.upf
CELL_PARAMETERS angstrom
4.506 0.000 0.000
0.000 4.634 0.000
0.000 0.000 4.634
ATOMIC_POSITIONS angstrom
As 2.253 0.000 0.000
Tc 0.000 0.000 2.317
Tc 0.000 2.317 0.000
Pt 0.000 0.000 0.000
Os 2.253 2.317 2.317


! SCAN Ti2AsOsPt, single point on PBEsol structure; values from VASP
! DFT formation energy = 221 kJ/mol of formula units
! DOS(E_F) = 2.54 states/eV per cell
! Space-group type = P4/mmm (123)
&SYSTEM
  ibrav = 0, nat = 5, ntyp = 4
/
ATOMIC_SPECIES
Ti 47.87 Ti.upf
Pt 195.08 Pt.upf
As 74.92 As.upf
Os 190.23 Os.upf
CELL_PARAMETERS angstrom
-2.680 -3.295 1.226
3.439 -2.904 -0.289
1.021 0.778 4.324
ATOMIC_POSITIONS angstrom
Ti 0.510 0.389 2.162
Ti 1.719 -1.452 -0.145
Pt 0.890 -2.711 2.630
As 0.000 0.000 0.000
Os -1.340 -1.648 0.613


! SCAN AsOsPtW2, single point on PBEsol structure; values from VASP
! DFT formation energy = 906 kJ/mol of formula units
! DOS(E_F) = 5.21 states/eV per cell
! Space-group type = P4/mmm (123)
&SYSTEM
  ibrav = 0, nat = 5, ntyp = 4
/
ATOMIC_SPECIES
Os 190.23 Os.upf
W 183.84 W.upf
Pt 195.08 Pt.upf
As 74.92 As.upf
CELL_PARAMETERS angstrom
4.468 0.000 0.000
0.000 4.745 0.000
0.000 0.000 4.745
ATOMIC_POSITIONS angstrom
Os 0.000 0.000 0.000
W 0.000 2.373 0.000
W 0.000 0.000 2.373
Pt 2.234 2.373 2.373
As 2.234 0.000 0.000


! SCAN RbAsOsSe2, single point on PBEsol structure; values from VASP
! DOS(E_F) = 5.79 states/eV per cell
! Raw formation energy = 13.0 eV per formula unit
! Space-group type = P4/mmm (123)
&SYSTEM
  ibrav = 0, nat = 5, ntyp = 4
/
ATOMIC_SPECIES
Se 78.96 Se.upf
Os 190.23 Os.upf
Rb 85.47 Rb.upf
As 74.92 As.upf
CELL_PARAMETERS angstrom
5.452 0.000 0.000
0.000 5.368 0.000
0.000 0.000 5.368
ATOMIC_POSITIONS angstrom
Se 0.000 2.684 0.000
Se 0.000 0.000 2.684
Os 2.726 2.684 2.684
Rb 0.000 0.000 0.000
As 2.726 0.000 0.000


! SCAN Re2AsOs, single point on PBEsol structure; values from VASP
! DFT formation energy = 189 kJ/mol of formula units
! DOS(E_F) = 2.49 states/eV per cell
! Space-group type = Pmmm (47)
&SYSTEM
  ibrav = 0, nat = 4, ntyp = 3
/
ATOMIC_SPECIES
Re 186.21 Re.upf
Os 190.23 Os.upf
As 74.92 As.upf
CELL_PARAMETERS angstrom
2.941 0.000 0.000
0.000 4.431 0.000
0.000 0.000 4.477
ATOMIC_POSITIONS angstrom
Re 0.000 0.000 0.000
Re 1.470 2.215 0.000
Os 0.000 2.215 2.239
As 1.470 0.000 2.239


! SCAN Re2AsOs, single point on PBEsol structure; values from VASP
! DFT formation energy = 107 kJ/mol of formula units
! DOS(E_F) = 2.83 states/eV per cell
! Space-group type = Imm2 (44)
&SYSTEM
  ibrav = 0, nat = 4, ntyp = 3
/
ATOMIC_SPECIES
As 74.92 As.upf
Os 190.23 Os.upf
Re 186.21 Re.upf
CELL_PARAMETERS angstrom
2.918 0.000 0.000
0.000 4.406 0.000
-1.459 -2.203 4.431
ATOMIC_POSITIONS angstrom
As 0.000 0.000 4.420
Os 1.459 0.000 2.460
Re 0.000 0.000 0.001
Re 0.000 2.203 1.980


! SCAN ReAsOs2, single point on PBEsol structure; values from VASP
! DFT formation energy = 130 kJ/mol of formula units
! DOS(E_F) = 2.45 states/eV per cell
! Space-group type = Immm (71)
&SYSTEM
  ibrav = 0, nat = 4, ntyp = 3
/
ATOMIC_SPECIES
Re 186.21 Re.upf
Os 190.23 Os.upf
As 74.92 As.upf
CELL_PARAMETERS angstrom
-1.922 0.367 2.133
-1.965 -3.766 -1.122
4.606 -0.519 2.275
ATOMIC_POSITIONS angstrom
Re -0.961 0.183 1.067
Os 1.471 -1.225 1.535
Os -0.751 -2.693 1.751
As -0.982 -1.883 -0.561


! SCAN ReAsOs2, single point on PBEsol structure; values from VASP
! DFT formation energy = 225 kJ/mol of formula units
! DOS(E_F) = 3.22 states/eV per cell
! Space-group type = I-4m2 (119)
&SYSTEM
  ibrav = 0, nat = 4, ntyp = 3
/
ATOMIC_SPECIES
Os 190.23 Os.upf
Re 186.21 Re.upf
As 74.92 As.upf
CELL_PARAMETERS angstrom
3.871 0.000 0.000
0.000 3.871 0.000
-1.936 -1.936 3.814
ATOMIC_POSITIONS angstrom
Os 1.936 0.000 1.907
Os 0.000 0.000 0.000
Re 1.936 1.936 0.000
As 0.000 1.936 1.907


! SCAN ReAs2Os, single point on PBEsol structure; values from VASP
! DFT formation energy = 305 kJ/mol of formula units
! DOS(E_F) = 2.63 states/eV per cell
! Space-group type = Cmmm (65)
&SYSTEM
  ibrav = 0, nat = 4, ntyp = 3
/
ATOMIC_SPECIES
As 74.92 As.upf
Os 190.23 Os.upf
Re 186.21 Re.upf
CELL_PARAMETERS angstrom
2.942 -0.001 0.000
-1.431 2.570 0.000
0.000 0.000 8.101
ATOMIC_POSITIONS angstrom
As 0.000 0.000 2.028
As 0.000 0.000 6.072
Os 0.755 1.285 4.050
Re 0.755 1.285 0.000


! SCAN Re2AsOs, single point on PBEsol structure; values from VASP
! DFT formation energy = 72 kJ/mol of formula units
! DOS(E_F) = 2.39 states/eV per cell
! Space-group type = P4mm (99)
&SYSTEM
  ibrav = 0, nat = 4, ntyp = 3
/
ATOMIC_SPECIES
Os 190.23 Os.upf
Re 186.21 Re.upf
As 74.92 As.upf
CELL_PARAMETERS angstrom
-0.458 2.493 -1.402
1.205 -1.119 -2.384
-6.075 -2.249 -2.015
ATOMIC_POSITIONS angstrom
Os -4.089 -0.965 -3.373
Re -1.236 0.091 -2.427
Re -0.010 -0.004 -0.003
As -3.030 -1.122 -1.005


! SCAN As2OsRh, single point on PBEsol structure; values from VASP
! DFT formation energy = 67 kJ/mol of formula units
! DOS(E_F) = 3.09 states/eV per cell
! Space-group type = I4/mmm (139)
&SYSTEM
  ibrav = 0, nat = 4, ntyp = 3
/
ATOMIC_SPECIES
As 74.92 As.upf
Rh 102.91 Rh.upf
Os 190.23 Os.upf
CELL_PARAMETERS angstrom
4.229 0.000 0.000
-2.114 3.866 0.008
0.000 2.306 3.545
ATOMIC_POSITIONS angstrom
As 2.114 3.662 2.662
As 0.000 2.509 0.890
Rh 0.000 0.000 0.000
Os 2.114 1.153 1.772


! SCAN As2OsRh, single point on PBEsol structure; values from VASP
! DFT formation energy = -8 kJ/mol of formula units
! DOS(E_F) = 1.59 states/eV per cell
! Space-group type = R-3m (166)
&SYSTEM
  ibrav = 0, nat = 4, ntyp = 3
/
ATOMIC_SPECIES
As 74.92 As.upf
Os 190.23 Os.upf
Rh 102.91 Rh.upf
CELL_PARAMETERS angstrom
2.962 0.000 0.000
1.481 2.565 0.000
1.481 0.855 7.702
ATOMIC_POSITIONS angstrom
As 4.443 2.565 5.773
As 1.481 0.855 1.929
Os 2.962 1.710 3.851
Rh 0.000 0.000 0.000


! SCAN As2OsRh, single point on PBEsol structure; values from VASP
! DFT formation energy = 4 kJ/mol of formula units
! DOS(E_F) = 2.31 states/eV per cell
! Space-group type = Cm (8)
&SYSTEM
  ibrav = 0, nat = 4, ntyp = 3
/
ATOMIC_SPECIES
As 74.92 As.upf
Rh 102.91 Rh.upf
Os 190.23 Os.upf
CELL_PARAMETERS angstrom
-0.517 0.685 3.055
-3.417 -2.565 -1.651
3.101 -3.058 1.210
ATOMIC_POSITIONS angstrom
As 0.248 -0.325 0.115
As 0.330 -3.185 0.770
Rh -1.472 -1.213 1.671
Os 1.354 -1.401 2.191


! SCAN As3OsRh, single point on PBEsol structure; values from VASP
! DFT formation energy = 482 kJ/mol of formula units
! DOS(E_F) = 3.54 states/eV per cell
! Space-group type = Pm-3m (221)
&SYSTEM
  ibrav = 0, nat = 5, ntyp = 3
/
ATOMIC_SPECIES
Os 190.23 Os.upf
As 74.92 As.upf
Rh 102.91 Rh.upf
CELL_PARAMETERS angstrom
-2.925 2.686 2.482
0.952 -2.510 3.837
3.531 2.901 1.022
ATOMIC_POSITIONS angstrom
Os 0.000 0.000 0.000
As -1.462 1.343 1.241
As 0.476 -1.255 1.918
As 1.766 1.450 0.511
Rh 0.779 1.538 3.671


! SCAN As2OsRh, single point on PBEsol structure; values from VASP
! DFT formation energy = 167 kJ/mol of formula units
! DOS(E_F) = 3.19 states/eV per cell
! Space-group type = Immm (71)
&SYSTEM
  ibrav = 0, nat = 4, ntyp = 3
/
ATOMIC_SPECIES
As 74.92 As.upf
Rh 102.91 Rh.upf
Os 190.23 Os.upf
CELL_PARAMETERS angstrom
2.919 0.000 0.000
1.459 4.844 0.032
1.459 2.223 4.303
ATOMIC_POSITIONS angstrom
As 2.919 1.759 1.079
As 2.919 5.308 3.256
Rh 1.459 3.533 2.168
Os 1.459 0.000 0.000


! SCAN As2OsRhSe, single point on PBEsol structure; values from VASP
! DOS(E_F) = 4.50 states/eV per cell
! Raw formation energy = 5.3 eV per formula unit
! Space-group type = P4/mmm (123)
&SYSTEM
  ibrav = 0, nat = 5, ntyp = 4
/
ATOMIC_SPECIES
As 74.92 As.upf
Os 190.23 Os.upf
Rh 102.91 Rh.upf
Se 78.96 Se.upf
CELL_PARAMETERS angstrom
-3.540 2.723 -1.063
-1.875 -0.835 4.106
2.454 3.939 1.922
ATOMIC_POSITIONS angstrom
As -0.938 -0.418 2.053
As -1.770 1.362 -0.531
Os 0.000 0.000 0.000
Rh -1.481 2.914 2.483
Se 1.227 1.970 0.961


! SCAN YAsOs2Rh, single point on PBEsol structure; values from VASP
! DFT formation energy = 468 kJ/mol of formula units
! DOS(E_F) = 3.32 states/eV per cell
! Space-group type = P4/mmm (123)
&SYSTEM
  ibrav = 0, nat = 5, ntyp = 4
/
ATOMIC_SPECIES
Rh 102.91 Rh.upf
Os 190.23 Os.upf
As 74.92 As.upf
Y 88.91 Y.upf
CELL_PARAMETERS angstrom
-1.339 2.222 3.601
-1.015 -3.836 1.989
4.681 -0.254 1.898
ATOMIC_POSITIONS angstrom
Rh 1.163 -0.934 3.744
Os -0.507 -1.918 0.995
Os -0.670 1.111 1.801
As 0.000 0.000 0.000
Y 2.341 -0.127 0.949


! SCAN AsOs2Ru, single point on PBEsol structure; values from VASP
! DFT formation energy = 240 kJ/mol of formula units
! DOS(E_F) = 4.40 states/eV per cell
! Space-group type = P4/mmm (123)
&SYSTEM
  ibrav = 0, nat = 4, ntyp = 3
/
ATOMIC_SPECIES
Os 190.23 Os.upf
Ru 101.07 Ru.upf
As 74.92 As.upf
CELL_PARAMETERS angstrom
3.776 0.000 0.000
0.000 3.776 0.000
0.000 0.000 3.960
ATOMIC_POSITIONS angstrom
Os 0.000 1.888 0.000
Os 1.888 0.000 0.000
Ru 1.888 1.888 1.980
As 0.000 0.000 1.980


! SCAN As2OsRu, single point on PBEsol structure; values from VASP
! DFT formation energy = 39 kJ/mol of formula units
! DOS(E_F) = 1.74 states/eV per cell
! Space-group type = Cm (8)
&SYSTEM
  ibrav = 0, nat = 4, ntyp = 3
/
ATOMIC_SPECIES
Os 190.23 Os.upf
As 74.92 As.upf
Ru 101.07 Ru.upf
CELL_PARAMETERS angstrom
-2.519 1.167 -1.241
-2.470 -2.349 2.803
1.926 3.183 2.810
ATOMIC_POSITIONS angstrom
Os -2.654 -0.676 1.025
As -0.180 -0.140 0.233
As -1.365 0.241 2.997
Ru -1.358 1.986 0.899


! SCAN AsOs2Ru, single point on PBEsol structure; values from VASP
! DFT formation energy = 93 kJ/mol of formula units
! DOS(E_F) = 2.72 states/eV per cell
! Space-group type = P4mm (99)
&SYSTEM
  ibrav = 0, nat = 4, ntyp = 3
/
ATOMIC_SPECIES
As 74.92 As.upf
Os 190.23 Os.upf
Ru 101.07 Ru.upf
CELL_PARAMETERS angstrom
2.830 0.000 0.000
0.000 2.830 0.000
0.000 0.000 6.948
ATOMIC_POSITIONS angstrom
As 1.415 1.415 5.155
Os 1.415 1.415 1.706
Os 0.000 0.000 6.903
Ru 0.000 0.000 3.605


! SCAN AsOsRu3, single point on PBEsol structure; values from VASP
! DFT formation energy = 746 kJ/mol of formula units
! DOS(E_F) = 5.64 states/eV per cell
! Space-group type = Pm-3m (221)
&SYSTEM
  ibrav = 0, nat = 5, ntyp = 3
/
ATOMIC_SPECIES
As 74.92 As.upf
Ru 101.07 Ru.upf
Os 190.23 Os.upf
CELL_PARAMETERS angstrom
4.368 0.000 0.000
0.000 4.368 0.000
0.000 0.000 4.368
ATOMIC_POSITIONS angstrom
As 0.000 0.000 0.000
Ru 0.000 2.184 0.000
Ru 2.184 0.000 0.000
Ru 0.000 0.000 2.184
Os 2.184 2.184 2.184


! SCAN AsOs2Ru, single point on PBEsol structure; values from VASP
! DFT formation energy = 115 kJ/mol of formula units
! DOS(E_F) = 2.65 states/eV per cell
! Space-group type = Cm (8)
&SYSTEM
  ibrav = 0, nat = 4, ntyp = 3
/
ATOMIC_SPECIES
Ru 101.07 Ru.upf
As 74.92 As.upf
Os 190.23 Os.upf
CELL_PARAMETERS angstrom
-2.770 0.013 0.454
0.010 -4.521 0.185
2.110 0.484 4.181
ATOMIC_POSITIONS angstrom
Ru -1.354 -2.210 0.479
As -1.012 -0.973 2.531
Os 0.366 -3.199 2.317
Os -0.680 -3.921 4.633


! SCAN AsOs2Ru, single point on PBEsol structure; values from VASP
! DFT formation energy = 134 kJ/mol of formula units
! DOS(E_F) = 2.89 states/eV per cell
! Space-group type = Pmm2 (25)
&SYSTEM
  ibrav = 0, nat = 4, ntyp = 3
/
ATOMIC_SPECIES
Os 190.23 Os.upf
Ru 101.07 Ru.upf
As 74.92 As.upf
CELL_PARAMETERS angstrom
-0.030 -2.647 0.887
0.332 -1.189 -3.536
5.441 0.099 0.477
ATOMIC_POSITIONS angstrom
Os 0.147 0.003 0.013
Os 1.403 -1.895 -1.215
Ru 2.848 0.052 0.250
As 4.064 -1.847 -0.981


! SCAN As2OsRu, single point on PBEsol structure; values from VASP
! DFT formation energy = 43 kJ/mol of formula units
! DOS(E_F) = 2.39 states/eV per cell
! Space-group type = R-3m (166)
&SYSTEM
  ibrav = 0, nat = 4, ntyp = 3
/
ATOMIC_SPECIES
Ru 101.07 Ru.upf
As 74.92 As.upf
Os 190.23 Os.upf
CELL_PARAMETERS angstrom
2.938 0.000 0.000
1.469 2.545 0.000
1.469 0.848 7.719
ATOMIC_POSITIONS angstrom
Ru 0.000 0.000 0.000
As 4.407 2.545 5.808
As 1.469 0.848 1.911
Os 2.938 1.696 3.859


! SCAN As3OsS, single point on PBEsol structure; values from VASP
! DOS(E_F) = 2.27 states/eV per cell
! Raw formation energy = 7.5 eV per formula unit
! Space-group type = Pm-3m (221)
&SYSTEM
  ibrav = 0, nat = 5, ntyp = 3
/
ATOMIC_SPECIES
As 74.92 As.upf
S 32.06 S.upf
Os 190.23 Os.upf
CELL_PARAMETERS angstrom
4.495 0.000 0.000
0.000 4.495 0.000
0.000 0.000 4.495
ATOMIC_POSITIONS angstrom
As 0.000 2.248 0.000
As 0.000 0.000 2.248
As 2.248 0.000 0.000
S 0.000 0.000 0.000
Os 2.248 2.248 2.248


! SCAN AsOsS3, single point on PBEsol structure; values from VASP
! DOS(E_F) = 4.11 states/eV per cell
! Raw formation energy = 3.6 eV per formula unit
! Space-group type = Pm-3m (221)
&SYSTEM
  ibrav = 0, nat = 5, ntyp = 3
/
ATOMIC_SPECIES
S 32.06 S.upf
As 74.92 As.upf
Os 190.23 Os.upf
CELL_PARAMETERS angstrom
4.543 0.000 0.000
0.000 4.543 0.000
0.000 0.000 4.543
ATOMIC_POSITIONS angstrom
S 0.000 2.271 0.000
S 0.000 0.000 2.271
S 2.271 0.000 0.000
As 2.271 2.271 2.271
Os 0.000 0.000 0.000


! SCAN SbAs2Os, single point on PBEsol structure; values from VASP
! DOS(E_F) = 2.00 states/eV per cell
! Raw formation energy = 0.5 eV per formula unit
! Space-group type = C2/m (12)
&SYSTEM
  ibrav = 0, nat = 4, ntyp = 3
/
ATOMIC_SPECIES
As 74.92 As.upf
Os 190.23 Os.upf
Sb 121.76 Sb.upf
CELL_PARAMETERS angstrom
3.018 0.000 0.000
-1.509 3.534 -0.016
0.000 -2.054 8.200
ATOMIC_POSITIONS angstrom
As 1.509 -0.611 6.864
As 0.000 2.091 1.320
Os 0.000 0.000 0.000
Sb 1.509 -1.027 4.100